[1]
The following is a PBE calculation of an optimized crystal structure of La6Cd7, from the Alexandria database.

Results
Raw total energy in eV/atom: -3.03
Calculated formation energy in eV per atom: -0.267
Calculated volume in A^3/atom: 28.53
D(E_F) in states/eV/cell: 50.484

a b c (Å): 6.1526 6.1526 33.9345
angles (deg): 90.00 90.00 120.00
Space group R-3m (No. 166, hexagonal axes)
One atom of each set of equivalent atoms:
1 La 0.0000 0.0000 0.0518 [6 per cell]
2 La 0.0000 0.0000 0.1527 [6 per cell]
3 La 0.0000 0.0000 0.3318 [6 per cell]
4 Cd 0.0000 0.0000 0.5000 [3 per cell]
5 Cd 0.0008 0.5004 0.0937 [18 per cell]



[2]
The following is a PBE calculation of an optimized crystal structure of LaCd2, from the Alexandria database.

Results
Raw total energy in eV/atom: -2.52
Calculated formation energy in eV per atom: -0.263
Calculated volume in A^3/atom: 26.44
D(E_F) in states/eV/cell: 14.078

a b c (Å): 4.752 4.752 28.099
angles (deg): 90.00 90.00 90.00
Space group I4_1/amd (No. 141, origin choice 2)
One atom of each set of equivalent atoms:
1 La 0.000 0.250 0.287 [8 per cell]
2 Cd 0.000 0.250 0.125 [8 per cell]
3 Cd 0.000 0.250 0.801 [8 per cell]



[3]
The following is a PBE calculation of an optimized crystal structure of LaCd, from the Alexandria database.

Results
Raw total energy in eV/atom: -2.91
Calculated formation energy in eV per atom: 0.011
Calculated volume in A^3/atom: 30.67
D(E_F) in states/eV/cell: 10.209

a b c (Å): 5.5995 5.5995 9.0354
angles (deg): 90.00 90.00 120.00
Space group P6_3/mmc (No. 194)
One atom of each set of equivalent atoms:
1 La 0.0000 0.0000 0.2500 [2 per cell]
2 La 0.3333 0.6667 0.2500 [2 per cell]
3 Cd 0.3333 0.6667 0.5945 [4 per cell]



[4]
The following is a PBE calculation of an optimized crystal structure of LaCd2, from the Alexandria database.

Results
Raw total energy in eV/atom: -2.51
Calculated formation energy in eV per atom: -0.253
Calculated volume in A^3/atom: 26.95
D(E_F) in states/eV/cell: 5.880

a b c (Å): 3.547 3.547 12.851
angles (deg): 90.00 90.00 90.00
Space group I4/mmm (No. 139)
One atom of each set of equivalent atoms:
1 La 0.000 0.000 0.000 [2 per cell]
2 Cd 0.000 0.000 0.319 [4 per cell]



[5]
The following is a PBE calculation of an optimized crystal structure of La3Cd5, from the Alexandria database.

Results
Energy relative to the lowest polymorph listed for this composition in meV per atom: 78
Raw total energy in eV/atom: -2.63
Calculated formation energy in eV per atom: -0.213
Calculated volume in A^3/atom: 29.12
D(E_F) in states/eV/cell: 14.426

a b c (Å): 5.970 9.315 9.315
angles (deg): 84.20 71.51 71.51
Space group P1 (No. 1)
One atom of each set of equivalent atoms:
1 La 0.000 0.000 0.000 [1 per cell]
2 La 0.079 0.500 0.841 [1 per cell]
3 La 0.159 0.340 0.340 [1 per cell]
4 La 0.500 0.660 0.340 [1 per cell]
5 La 0.579 0.500 0.841 [1 per cell]
6 La 0.660 0.000 0.679 [1 per cell]
7 Cd 0.073 0.183 0.670 [1 per cell]
8 Cd 0.080 0.999 0.341 [1 per cell]
9 Cd 0.085 0.671 0.158 [1 per cell]
10 Cd 0.256 0.817 0.670 [1 per cell]
11 Cd 0.403 0.183 0.011 [1 per cell]
12 Cd 0.573 0.330 0.524 [1 per cell]
13 Cd 0.580 0.001 0.339 [1 per cell]
14 Cd 0.586 0.817 0.010 [1 per cell]
15 Cd 0.756 0.329 0.158 [1 per cell]
16 Cd 0.903 0.670 0.524 [1 per cell]



[6]
The following is a PBE calculation of an optimized crystal structure of LaCd2, from the Alexandria database.

Results
Raw total energy in eV/atom: -2.00
Calculated formation energy in eV per atom: 0.249
Calculated volume in A^3/atom: 35.40
D(E_F) in states/eV/cell: 14.210

a b c (Å): 7.517 7.517 7.517
angles (deg): 90.00 90.00 90.00
Space group Pa-3 (No. 205)
One atom of each set of equivalent atoms:
1 La 0.000 0.000 0.000 [4 per cell]
2 Cd 0.108 0.608 0.892 [8 per cell]



[7]
The following is a PBE calculation of an optimized crystal structure of LaCd2, from the Alexandria database.

Results
Raw total energy in eV/atom: -2.46
Calculated formation energy in eV per atom: -0.208
Calculated volume in A^3/atom: 27.46
D(E_F) in states/eV/cell: 4.785

a b c (Å): 3.425 4.909 9.797
angles (deg): 90.00 90.00 90.00
Space group Immm (No. 71)
One atom of each set of equivalent atoms:
1 La 0.000 0.000 0.000 [2 per cell]
2 Cd 0.000 0.000 0.333 [4 per cell]



[8]
The following is a PBE calculation of an optimized crystal structure of LaCd, from the Alexandria database.

Results
Raw total energy in eV/atom: -3.17
Calculated formation energy in eV per atom: -0.244
Calculated volume in A^3/atom: 29.35
D(E_F) in states/eV/cell: 7.176

a b c (Å): 4.734 4.734 10.478
angles (deg): 90.00 90.00 90.00
Space group I4_1/amd (No. 141, origin choice 2)
One atom of each set of equivalent atoms:
1 La 0.000 0.250 0.375 [4 per cell]
2 Cd 0.000 0.250 0.875 [4 per cell]



[9]
The following is a PBE calculation of an optimized crystal structure of LaCd, from the Alexandria database.

Results
Raw total energy in eV/atom: -3.15
Calculated formation energy in eV per atom: -0.229
Calculated volume in A^3/atom: 30.40
D(E_F) in states/eV/cell: 13.857

a b c (Å): 5.138 10.534 6.740
angles (deg): 90.00 90.00 90.00
Space group Imm2 (No. 44)
One atom of each set of equivalent atoms:
1 La 0.000 0.000 0.000 [2 per cell]
2 La 0.000 0.323 0.229 [4 per cell]
3 Cd 0.000 0.000 0.491 [2 per cell]
4 Cd 0.000 0.362 0.744 [4 per cell]



[10]
The following is a PBE calculation of an optimized crystal structure of La5Cd4, from the Alexandria database.

Results
Energy relative to the lowest polymorph listed for this composition in meV per atom: 46
Raw total energy in eV/atom: -3.31
Calculated formation energy in eV per atom: -0.167
Calculated volume in A^3/atom: 29.50
D(E_F) in states/eV/cell: 15.189

a b c (Å): 10.407 10.407 4.902
angles (deg): 90.00 90.00 90.00
Space group I4/mmm (No. 139)
One atom of each set of equivalent atoms:
1 La 0.000 0.000 0.000 [2 per cell]
2 La 0.171 0.171 0.500 [8 per cell]
3 Cd 0.000 0.349 0.000 [8 per cell]



[11]
The following is a PBE calculation of an optimized crystal structure of LaCd7, from the Alexandria database.

Results
Energy relative to the lowest polymorph listed for this composition in meV per atom: 134
Raw total energy in eV/atom: -1.45
Calculated formation energy in eV per atom: -0.031
Calculated volume in A^3/atom: 26.00
D(E_F) in states/eV/cell: 31.957

a b c (Å): 9.405 9.405 9.405
angles (deg): 90.00 90.00 90.00
Space group Fm-3m (No. 225)
One atom of each set of equivalent atoms:
1 La 0.000 0.000 0.000 [4 per cell]
2 Cd 0.000 0.000 0.500 [4 per cell]
3 Cd 0.000 0.250 0.250 [24 per cell]



[12]
The following is a PBE calculation of an optimized crystal structure of LaCd3, from the Alexandria database.

Results
Raw total energy in eV/atom: -1.99
Calculated formation energy in eV per atom: -0.069
Calculated volume in A^3/atom: 26.77
D(E_F) in states/eV/cell: 14.576

a b c (Å): 10.7826 10.7826 3.1910
angles (deg): 90.00 90.00 120.00
Space group R-3m (No. 166, hexagonal axes)
One atom of each set of equivalent atoms:
1 La 0.0000 0.0000 0.0000 [3 per cell]
2 Cd 0.0000 0.5000 0.0000 [9 per cell]